Entry 1:
The following is a GGA-PBE calculation of an optimized crystal structure of Sr2AcIrO8, from the Alexandria database.

a b c (Å): 4.530 5.567 7.408
angles (deg): 90.00 90.00 92.36
Each line ends with the local moment (μB).
Atoms (fractional coordinates):
Sr1 0.500 0.500 0.757  0.01
Sr2 0.500 0.500 0.243  0.01
Ac1 0.000 0.000 0.500  0.01
Ir1 0.000 0.000 0.000  0.59
O1 0.049 0.766 0.190  0.13
O2 0.586 0.896 0.000  0.00
O3 0.951 0.234 0.190  0.13
O4 0.951 0.234 0.810  0.13
O5 0.414 0.104 0.000  0.00
O6 0.049 0.766 0.810  0.13
O7 0.517 0.757 0.500  0.27
O8 0.483 0.243 0.500  0.27

Computed properties:
final energy: -6.4847 eV/atom
density: 6.427 g cm⁻³
DOS at the Fermi energy: 6.66 states/eV/f.u.
space-group type: P2/m
raw formation energy: -1818 meV/atom

Entry 2:
The following is a GGA-PBE calculation of an optimized crystal structure of Ca2H2F7, from the Alexandria database.

a b c (Å): 5.094 5.660 5.660
angles (deg): 96.63 108.38 108.38
Each line ends with the local moment (μB).
Atoms (fractional coordinates):
Ca1 0.500 0.290 0.710  0.00
Ca2 0.500 0.710 0.290  0.00
H1 0.271 0.713 0.713  0.00
H2 0.729 0.287 0.287  0.00
F1 0.287 0.578 0.850  0.00
F2 0.713 0.150 0.422  0.00
F3 0.713 0.422 0.150  0.00
F4 0.287 0.850 0.578  0.00
F5 0.237 0.332 0.332  0.14
F6 0.000 0.000 0.000  0.56
F7 0.763 0.668 0.668  0.14

Computed properties:
final energy: -4.7697 eV/atom
density: 2.503 g cm⁻³
space-group type: C2/m

Entry 3:
The following is a GGA-PBE calculation of an optimized crystal structure of PaCoAgS4, from the Alexandria database.

a b c (Å): 6.590 5.698 8.125
angles (deg): 90.00 89.08 90.00
Each line ends with the local moment (μB).
Atoms (fractional coordinates):
Pa1 0.765 0.750 0.447  -0.04
Pa2 0.235 0.250 0.553  -0.04
Co1 0.306 0.750 0.317  1.42
Co2 0.694 0.250 0.683  1.42
Ag1 0.589 0.750 0.856  0.04
Ag2 0.411 0.250 0.144  0.04
S1 0.935 0.508 0.712  0.02
S2 0.065 0.008 0.288  0.02
S3 0.065 0.492 0.288  0.02
S4 0.935 0.992 0.712  0.02
S5 0.583 0.750 0.161  0.09
S6 0.417 0.250 0.839  0.09
S7 0.383 0.750 0.582  0.05
S8 0.617 0.250 0.418  0.05

Computed properties:
final energy: -5.9009 eV/atom
density: 5.728 g cm⁻³
DOS at the Fermi energy: 3.12 states/eV/f.u.
space-group type: P2_1/m
raw formation energy: -763 meV/atom

Entry 4:
The following is a GGA-PBE calculation of an optimized crystal structure of PrErCuPd, from the Alexandria database.

a b c (Å): 3.796 4.544 5.714
angles (deg): 90.00 109.40 90.00
Atoms (fractional coordinates):
Pr1 0.859 0.500 0.718
Er1 0.136 0.000 0.271
Cu1 0.426 0.000 0.851
Pd1 0.580 0.500 0.160

Computed properties:
final energy: -5.1886 eV/atom
density: 8.538 g cm⁻³
DOS at the Fermi energy: 2.96 states/eV/f.u.
DFT formation energy: -0.53 eV per atom
space-group type: Amm2
polymorph energy (0 for the lowest one): 0.0 meV per atom

Entry 5:
The following is a GGA-PBE calculation of an optimized crystal structure of BaNa2RuC, from the Alexandria database.

a b c (Å): 6.722 4.998 6.722
angles (deg): 90.00 90.00 90.00
Each line ends with the local moment (μB).
Atoms (fractional coordinates):
Ru1 0.000 0.500 0.000  -0.07
C1 0.500 0.500 0.500  1.05
Ba1 0.000 0.000 0.000  -0.02
Na1 0.000 0.000 0.500  -0.01
Na2 0.500 0.000 0.000  0.00

Computed properties:
final energy: -2.2700 eV/atom
density: 2.179 g cm⁻³
DOS at the Fermi energy: 5.49 states/eV/f.u.
DFT formation energy: 2.34 eV per atom
space-group type: P4/mmm

Entry 6:
The following is a GGA-PBE calculation of an optimized crystal structure of PaCo2Ge3, from the Alexandria database.

a b c (Å): 5.496 6.159 6.159
angles (deg): 100.75 90.00 90.00
Atoms (fractional coordinates):
Pa1 0.750 0.299 0.701
Pa2 0.250 0.701 0.299
Co1 0.000 0.835 0.835
Co2 0.500 0.835 0.835
Co3 0.000 0.165 0.165
Co4 0.500 0.165 0.165
Ge1 0.250 0.140 0.860
Ge2 0.250 0.539 0.779
Ge3 0.750 0.779 0.539
Ge4 0.250 0.221 0.461
Ge5 0.750 0.461 0.221
Ge6 0.750 0.860 0.140

Computed properties:
final energy: -6.4601 eV/atom
density: 9.190 g cm⁻³
DOS at the Fermi energy: 5.69 states/eV/f.u.
DFT formation energy: -0.20 eV per atom
space-group type: Cmcm
polymorph energy (0 for the lowest one): 162.0 meV per atom

Entry 7:
The following is a GGA-PBE calculation of an optimized crystal structure of TbBe4Au8, from the Alexandria database.

a b c (Å): 5.265 6.816 6.816
angles (deg): 81.42 67.28 67.28
Atoms (fractional coordinates):
Tb1 0.000 0.000 0.000
Be1 0.000 0.000 0.500
Be2 0.500 0.000 0.500
Be3 0.000 0.500 0.000
Be4 0.500 0.500 0.000
Au1 0.000 0.328 0.672
Au2 0.000 0.672 0.328
Au3 0.328 0.672 0.672
Au4 0.672 0.328 0.328
Au5 0.500 0.778 0.222
Au6 0.500 0.222 0.778
Au7 0.278 0.222 0.222
Au8 0.722 0.778 0.778

Computed properties:
final energy: -3.7964 eV/atom
density: 14.127 g cm⁻³
DOS at the Fermi energy: 3.77 states/eV/f.u.
DFT formation energy: -0.28 eV per atom
space-group type: I4/mmm
polymorph energy (0 for the lowest one): 0.0 meV per atom

Entry 8:
The following is a GGA-PBE calculation of an optimized crystal structure of TaW2Au, from the Alexandria database.

a b c (Å): 2.767 2.767 9.252
angles (deg): 90.00 90.00 106.79
Atoms (fractional coordinates):
Au1 0.500 0.500 0.250
Ta1 0.500 0.500 0.750
W1 0.000 0.000 0.999
W2 0.000 0.000 0.501

Computed properties:
final energy: -10.0854 eV/atom
density: 18.252 g cm⁻³
DOS at the Fermi energy: 2.30 states/eV/f.u.
DFT formation energy: 0.17 eV per atom
space-group type: Cmmm
polymorph energy (0 for the lowest one): 75.7 meV per atom

Entry 9:
The following is a GGA-PBE calculation of an optimized crystal structure of TcAs2Pb2, from the Alexandria database.

a b c (Å): 6.489 6.489 5.412
angles (deg): 90.00 90.00 90.00
Atoms (fractional coordinates):
Pb1 0.185 0.685 0.500
Pb2 0.685 0.815 0.500
Pb3 0.815 0.315 0.500
Pb4 0.315 0.185 0.500
As1 0.356 0.856 0.000
As2 0.856 0.644 0.000
As3 0.644 0.144 0.000
As4 0.144 0.356 0.000
Tc1 0.000 0.000 0.000
Tc2 0.500 0.500 0.000

Computed properties:
final energy: -5.3152 eV/atom
density: 9.652 g cm⁻³
DOS at the Fermi energy: 1.80 states/eV/f.u.
DFT formation energy: 0.10 eV per atom
space-group type: P4/mbm

Entry 10:
The following is a GGA-PBE calculation of an optimized crystal structure of LiTcP, from the Alexandria database.

a b c (Å): 3.808 2.764 9.404
angles (deg): 90.00 90.00 90.00
Atoms (fractional coordinates):
Li1 0.000 0.500 0.747
Li2 0.500 0.000 0.247
Tc1 0.000 0.000 0.009
Tc2 0.500 0.500 0.509
P1 0.000 0.000 0.498
P2 0.500 0.500 0.998

Computed properties:
final energy: -6.0350 eV/atom
density: 4.561 g cm⁻³
DOS at the Fermi energy: 0.92 states/eV/f.u.
DFT formation energy: -0.14 eV per atom
space-group type: Imm2
polymorph energy (0 for the lowest one): 398.6 meV per atom

Entry 11:
The following is a GGA-PBE calculation of an optimized crystal structure of RbSeBr3, from the Alexandria database.

a b c (Å): 8.994 16.158 5.897
angles (deg): 90.00 90.00 90.00
Atoms (fractional coordinates):
Se1 0.344 0.250 0.512
Se2 0.156 0.750 0.012
Se3 0.656 0.750 0.488
Se4 0.844 0.250 0.988
Br1 0.148 0.911 0.996
Br2 0.352 0.411 0.496
Br3 0.352 0.089 0.496
Br4 0.852 0.411 0.004
Br5 0.852 0.089 0.004
Br6 0.648 0.589 0.504
Br7 0.648 0.911 0.504
Br8 0.148 0.589 0.996
Br9 0.597 0.250 0.767
Br10 0.903 0.750 0.267
Br11 0.403 0.750 0.233
Br12 0.097 0.250 0.733
Rb1 0.000 0.000 0.500
Rb2 0.500 0.500 0.000
Rb3 0.500 0.000 0.000
Rb4 0.000 0.500 0.500

Computed properties:
final energy: -2.6567 eV/atom
density: 3.132 g cm⁻³
DOS at the Fermi energy: 0.00 states/eV/f.u.
space-group type: Pnma
raw formation energy: -763 meV/atom

Entry 12:
The following is a GGA-PBE calculation of an optimized crystal structure of CaLaSb2Se, from the Alexandria database.

a b c (Å): 5.621 5.315 5.621
angles (deg): 90.00 90.00 90.00
Atoms (fractional coordinates):
Sb1 0.000 0.000 0.500
Sb2 0.500 0.000 0.000
Ca1 0.000 0.000 0.000
Se1 0.000 0.500 0.000
La1 0.500 0.500 0.500

Computed properties:
final energy: -4.0557 eV/atom
density: 4.958 g cm⁻³
DOS at the Fermi energy: 4.67 states/eV/f.u.
space-group type: P4/mmm
raw formation energy: -324 meV/atom

Entry 13:
The following is a GGA-PBE calculation of an optimized crystal structure of OsPdF6, from the Alexandria database.

a b c (Å): 5.493 5.499 5.171
angles (deg): 57.88 82.17 75.16
Each line ends with the local moment (μB).
Atoms (fractional coordinates):
Os1 0.500 0.500 0.000  1.90
Pd1 0.000 0.000 0.000  1.19
F1 0.728 0.430 0.709  0.12
F2 0.728 0.139 0.291  0.12
F3 0.272 0.861 0.709  0.12
F4 0.272 0.570 0.291  0.12
F5 0.711 0.729 0.000  0.14
F6 0.289 0.271 0.000  0.14

Computed properties:
final energy: -4.8861 eV/atom
density: 5.333 g cm⁻³
DOS at the Fermi energy: 1.18 states/eV/f.u.
space-group type: C2/m
raw formation energy: -1430 meV/atom

Entry 14:
The following is a GGA-PBE calculation of an optimized crystal structure of MgZrTl2, from the Alexandria database.

a b c (Å): 5.212 3.467 5.211
angles (deg): 90.02 90.00 90.00
Atoms (fractional coordinates):
Tl1 0.000 0.125 0.874
Tl2 0.500 0.125 0.375
Mg1 0.500 0.625 0.876
Zr1 0.000 0.625 0.374

Computed properties:
final energy: -3.7221 eV/atom
density: 9.246 g cm⁻³
DOS at the Fermi energy: 3.10 states/eV/f.u.
DFT formation energy: 0.00 eV per atom
space-group type: Pmm2

Entry 15:
The following is a GGA-PBE calculation of an optimized crystal structure of K3ZrB, from the Alexandria database.

a b c (Å): 6.833 6.833 6.833
angles (deg): 90.00 90.00 90.00
Each line ends with the local moment (μB).
Atoms (fractional coordinates):
K1 0.000 0.500 0.000  0.05
K2 0.000 0.000 0.500  0.05
K3 0.500 0.000 0.000  0.04
B1 0.500 0.500 0.500  0.48
Zr1 0.000 0.000 0.000  1.91

Computed properties:
final energy: -1.6695 eV/atom
density: 1.141 g cm⁻³
DOS at the Fermi energy: 4.01 states/eV/f.u.
DFT formation energy: 2.03 eV per atom
space-group type: Pm-3m
polymorph energy (0 for the lowest one): 382.5 meV per atom

Entry 16:
The following is a GGA-PBE calculation of an optimized crystal structure of CoHg2Pb, from the Alexandria database.

a b c (Å): 3.178 4.219 7.127
angles (deg): 72.97 90.00 90.00
Each line ends with the local moment (μB).
Atoms (fractional coordinates):
Co1 0.500 0.987 0.650  0.70
Hg1 0.000 0.819 0.987  0.00
Hg2 0.500 0.187 0.251  0.00
Pb1 0.000 0.507 0.611  -0.02

Computed properties:
final energy: -2.5415 eV/atom
density: 12.129 g cm⁻³
DOS at the Fermi energy: 2.67 states/eV/f.u.
DFT formation energy: 0.31 eV per atom
space-group type: Pm

Entry 17:
The following is a GGA-PBE calculation of an optimized crystal structure of Te2IrCl, from the Alexandria database.

a b c (Å): 3.911 2.991 9.061
angles (deg): 109.01 90.00 90.00
Atoms (fractional coordinates):
Cl1 0.500 0.250 0.250
Ir1 0.500 0.750 0.750
Te1 0.000 0.956 0.956
Te2 0.000 0.544 0.544

Computed properties:
final energy: -4.2769 eV/atom
density: 7.999 g cm⁻³
DOS at the Fermi energy: 1.84 states/eV/f.u.
space-group type: P2/m
polymorph energy (0 for the lowest one): 309.1 meV per atom
raw formation energy: -29 meV/atom

Entry 18:
The following is a GGA-PBE calculation of an optimized crystal structure of MgRe3Ni, from the Alexandria database.

a b c (Å): 4.467 4.467 4.467
angles (deg): 90.00 90.00 90.00
Atoms (fractional coordinates):
Re1 0.000 0.500 0.000
Re2 0.000 0.000 0.500
Re3 0.500 0.000 0.000
Mg1 0.500 0.500 0.500
Ni1 0.000 0.000 0.000

Computed properties:
final energy: -7.3303 eV/atom
density: 11.954 g cm⁻³
DOS at the Fermi energy: 8.50 states/eV/f.u.
DFT formation energy: 1.61 eV per atom
space-group type: Pm-3m
polymorph energy (0 for the lowest one): 0.0 meV per atom

Entry 19:
The following is a GGA-PBE calculation of an optimized crystal structure of Y2CoS, from the Alexandria database.

a b c (Å): 3.876 3.937 11.302
angles (deg): 100.03 90.00 90.00
Each line ends with the local moment (μB).
Atoms (fractional coordinates):
Y1 0.750 0.684 0.369  -0.01
Y2 0.250 0.316 0.631  -0.01
Y3 0.750 0.933 0.865  -0.12
Y4 0.250 0.067 0.135  -0.12
Co1 0.250 0.473 0.946  0.85
Co2 0.750 0.527 0.054  0.85
S1 0.250 0.192 0.384  0.00
S2 0.750 0.808 0.616  0.00

Computed properties:
final energy: -7.1442 eV/atom
density: 5.256 g cm⁻³
DOS at the Fermi energy: 2.62 states/eV/f.u.
space-group type: Cmcm
raw formation energy: -1104 meV/atom

Entry 20:
The following is a GGA-PBE calculation of an optimized crystal structure of CsNd3Sm2Te6, from the Alexandria database.

a b c (Å): 4.500 9.435 10.259
angles (deg): 103.22 102.67 90.00
Atoms (fractional coordinates):
Cs1 0.500 0.000 0.000
Nd1 0.500 0.500 0.000
Nd2 0.841 0.184 0.682
Nd3 0.159 0.816 0.318
Sm1 0.830 0.655 0.659
Sm2 0.170 0.345 0.341
Te1 0.321 0.909 0.642
Te2 0.666 0.580 0.333
Te3 0.679 0.091 0.358
Te4 0.006 0.277 0.013
Te5 0.994 0.723 0.987
Te6 0.334 0.420 0.667

Computed properties:
final energy: -4.9439 eV/atom
density: 6.559 g cm⁻³
DOS at the Fermi energy: 4.26 states/eV/f.u.
space-group type: C2/m
raw formation energy: -1323 meV/atom

Entry 21:
The following is a GGA-PBE calculation of an optimized crystal structure of Ni4Pd3Pt, from the Alexandria database.

a b c (Å): 3.836 3.836 7.751
angles (deg): 104.31 104.31 90.01
Each line ends with the local moment (μB).
Atoms (fractional coordinates):
Ni1 0.376 0.375 0.751  0.83
Ni2 0.624 0.625 0.249  0.83
Ni3 0.125 0.124 0.249  0.83
Ni4 0.875 0.876 0.751  0.83
Pt1 0.500 0.000 0.000  0.41
Pd1 0.000 0.500 0.000  0.34
Pd2 0.750 0.250 0.501  0.33
Pd3 0.250 0.750 0.499  0.33

Computed properties:
final energy: -5.5896 eV/atom
density: 11.642 g cm⁻³
DOS at the Fermi energy: 13.42 states/eV/f.u.
DFT formation energy: 0.00 eV per atom
space-group type: I4/mmm
polymorph energy (0 for the lowest one): 0.0 meV per atom

Entry 22:
The following is a GGA-PBE calculation of an optimized crystal structure of Ga2WN, from the Alexandria database.

a b c (Å): 6.521 6.521 5.252
angles (deg): 51.62 51.62 90.00
Atoms (fractional coordinates):
Ga1 0.553 0.125 0.250
Ga2 0.197 0.625 0.250
Ga3 0.375 0.447 0.750
Ga4 0.875 0.803 0.750
W1 0.000 0.000 0.000
W2 0.750 0.250 0.500
N1 0.500 0.500 0.000
N2 0.250 0.750 0.500

Computed properties:
final energy: -6.1523 eV/atom
density: 10.480 g cm⁻³
DOS at the Fermi energy: 3.13 states/eV/f.u.
space-group type: I-42d
raw formation energy: 681 meV/atom

Entry 23:
The following is a GGA-PBE calculation of an optimized crystal structure of Th2TeC2, from the Alexandria database.

a b c (Å): 4.306 6.865 7.806
angles (deg): 99.84 106.01 90.00
Atoms (fractional coordinates):
Th1 0.544 0.351 0.690
Th2 0.146 0.851 0.690
Th3 0.456 0.649 0.310
Th4 0.854 0.149 0.310
Te1 0.798 0.750 0.000
Te2 0.202 0.250 0.000
C1 0.354 0.030 0.446
C2 0.909 0.470 0.554
C3 0.646 0.970 0.554
C4 0.091 0.530 0.446

Computed properties:
final energy: -8.0347 eV/atom
density: 9.367 g cm⁻³
DOS at the Fermi energy: 1.21 states/eV/f.u.
space-group type: C2/c
raw formation energy: -749 meV/atom

Entry 24:
The following is a GGA-PBE calculation of an optimized crystal structure of ZrAgSe2, from the Alexandria database.

a b c (Å): 6.267 6.267 7.288
angles (deg): 64.53 64.53 90.00
Each line ends with the local moment (μB).
Atoms (fractional coordinates):
Se1 0.617 0.125 0.250  -0.02
Se2 0.133 0.625 0.250  -0.02
Se3 0.375 0.383 0.750  -0.02
Se4 0.875 0.867 0.750  -0.02
Zr1 0.500 0.500 0.000  0.59
Zr2 0.250 0.750 0.500  0.58
Ag1 0.000 0.000 0.000  0.01
Ag2 0.750 0.250 0.500  0.01

Computed properties:
final energy: -5.1697 eV/atom
density: 5.218 g cm⁻³
DOS at the Fermi energy: 4.59 states/eV/f.u.
space-group type: I-42d
raw formation energy: -578 meV/atom